# 1
Ta2ZnOs4 | GGA-PBE | optimized geometry

Cell lengths 3.766, 3.766, 8.992 Å; angles 102.03, 102.09, 90.00 degrees
Atoms (fractional coordinates):
Ta  0.388  0.387  0.776
Os  0.143  0.144  0.287
Os  0.857  0.856  0.713
Zn  0.000  0.000  0.000
Os  0.250  0.750  0.500
Os  0.750  0.250  0.500
Ta  0.612  0.613  0.224

Properties
Formation enthalpy at 0 K: 322 meV per atom
Calculated volume: 17.4 Å³/atom



# 2
TaZn2Os | GGA-PBE | optimized geometry

Cell lengths 2.817, 4.088, 5.294 Å; angles 90.00, 90.00, 90.00 degrees
Atoms (fractional coordinates):
Zn  0.000  0.000  0.012
Os  0.500  0.500  0.250
Ta  0.500  0.500  0.750
Zn  0.000  0.000  0.488

Properties
Formation enthalpy at 0 K: 169 meV per atom
Calculated volume: 15.2 Å³/atom
Energy above the most stable polymorph in this dataset: 0.751 eV/f.u.



# 3
TaZn2Os | GGA-PBE | optimized geometry

Cell lengths 4.417, 4.417, 4.417 Å; angles 60.00, 60.00, 60.00 degrees
Atoms (fractional coordinates):
Ta  0.750  0.750  0.750
Os  0.500  0.500  0.500
Zn  0.000  0.000  0.000
Zn  0.250  0.250  0.250

Properties
Formation enthalpy at 0 K: 7 meV per atom
Calculated volume: 15.2 Å³/atom
Energy above the most stable polymorph in this dataset: 0.102 eV/f.u.



# 4
TaZnOs2 | GGA-PBE | optimized geometry

Cell lengths 2.792, 2.792, 7.861 Å; angles 90.00, 90.00, 90.00 degrees
Atoms (fractional coordinates):
Os  0.000  0.000  0.008
Zn  0.500  0.500  0.766
Os  0.500  0.500  0.225
Ta  0.000  0.000  0.502

Properties
Formation enthalpy at 0 K: 13 meV per atom
Calculated volume: 15.3 Å³/atom



# 5
TaZnOs4 | GGA-PBE | optimized geometry

Cell lengths 5.143, 5.143, 5.143 Å; angles 60.00, 60.00, 60.00 degrees
Atoms (fractional coordinates):
Os  0.876  0.375  0.375
Os  0.375  0.375  0.876
Zn  0.000  0.000  0.000
Os  0.375  0.876  0.375
Ta  0.750  0.750  0.750
Os  0.375  0.375  0.375

Properties
Formation enthalpy at 0 K: 305 meV per atom
Calculated volume: 16.0 Å³/atom



# 6
TaZn2Os | GGA-PBE | optimized geometry

Cell lengths 3.286, 3.286, 5.575 Å; angles 90.00, 90.00, 90.00 degrees
Atoms (fractional coordinates):
Zn  0.000  0.000  0.018
Ta  0.500  0.500  0.750
Zn  0.000  0.000  0.482
Os  0.500  0.500  0.250

Properties
Formation enthalpy at 0 K: 237 meV per atom
Calculated volume: 15.0 Å³/atom
Energy above the most stable polymorph in this dataset: 1.021 eV/f.u.



# 7
TaZnOs2 | GGA-PBE | optimized geometry

Cell lengths 7.083, 7.083, 5.687 Å; angles 51.49, 51.49, 90.00 degrees
Atoms (fractional coordinates):
Zn  0.250  0.750  0.500
Ta  0.750  0.250  0.500
Os  0.375  0.364  0.750
Os  0.636  0.125  0.250
Ta  0.000  0.000  0.000
Os  0.875  0.886  0.750
Zn  0.500  0.500  0.000
Os  0.114  0.625  0.250

Properties
Formation enthalpy at 0 K: 720 meV per atom
Calculated volume: 16.9 Å³/atom



# 8
TaZnOs2 | GGA-PBE | optimized geometry

Cell lengths 4.381, 2.754, 5.071 Å; angles 85.22, 90.00, 90.00 degrees
Atoms (fractional coordinates):
Os  0.000  0.984  0.982
Ta  0.500  0.250  0.250
Os  0.000  0.516  0.518
Zn  0.500  0.750  0.750

Properties
Formation enthalpy at 0 K: 90 meV per atom
Calculated volume: 15.2 Å³/atom



What is the calculated volume in the third record? 15.2 Å³/atom